LaMgSe2 (PBEsol, optimized geometry); formation energy without anion corrections = -1.5317 eV per atom; space group = Amm2, No. 38; total magnetization = 0.000 μB per atom; crystal system = orthorhombic; total energy = -5.223 eV/atom
1.0
-1.319 2.655 -2.619
-4.029 -0.964 1.052
0.750 2.734 5.381
Se La Mg
2 1 1
Cartesian
-1.971 1.446 2.459
-0.572 5.233 2.606
-2.670 1.037 -0.591
-0.613 3.424 0.793